Record 1
Below is a relaxed CaFeW2 crystal, with properties calculated at the GGA-PBE level.

Results
- Theoretical density: 10.1 g cm⁻³
- SG: P4/mmm (123)
- Calculated formation energy: 3.031 eV/f.u.
- Relative energy among the computed polymorphs: 0.73 eV/f.u.

```
CaFeW2
1.0
3.2461 0.0000 0.0000
0.0000 3.2461 0.0000
0.0000 0.0000 7.2037
Ca Fe W
1 1 2
Cartesian
0.0000 0.0000 0.0000
0.0000 0.0000 3.6019
1.6230 1.6230 2.3998
1.6230 1.6230 4.8039
```



Record 2
Below is a relaxed CaFeW2 crystal, with properties calculated at the GGA-PBE level.

Results
- Theoretical density: 11.3 g cm⁻³
- SG: P4/mmm (123)
- Calculated formation energy: 2.658 eV/f.u.
- Relative energy among the computed polymorphs: 0.36 eV/f.u.

```
CaFeW2
1.0
2.7880 0.0000 0.0000
0.0000 2.7880 0.0000
0.0000 0.0000 8.7998
Ca Fe W
1 1 2
Cartesian
0.0000 0.0000 0.0000
0.0000 0.0000 4.3999
1.3940 1.3940 2.6998
1.3940 1.3940 6.0999
```



Record 3
Below is a relaxed Ca3FeW crystal, with properties calculated at the GGA-PBE level.

Results
- Theoretical density: 3.9 g cm⁻³
- SG: Pm-3m (221)
- Calculated formation energy: 6.660 eV/f.u.
- Relative energy among the computed polymorphs: 0.00 eV/f.u.

```
Ca3FeW
1.0
5.3307 0.0000 0.0000
0.0000 5.3307 0.0000
0.0000 0.0000 5.3307
Ca Fe W
3 1 1
Cartesian
0.0000 0.0000 2.6654
0.0000 2.6654 0.0000
2.6654 0.0000 0.0000
0.0000 0.0000 0.0000
2.6654 2.6654 2.6654
```



Record 4
Below is a relaxed CaFe2W crystal, with properties calculated at the GGA-PBE level.

Results
- Theoretical density: 8.5 g cm⁻³
- SG: R3m (160)
- Calculated formation energy: 2.872 eV/f.u.
- Relative energy among the computed polymorphs: 1.48 eV/f.u.

```
CaFe2W
1.0
1.4518 0.8382 8.9916
-1.4518 0.8382 8.9916
0.0000 -1.6764 8.9916
Ca Fe W
1 2 1
Cartesian
0.0000 0.0000 0.0000
0.0000 0.0000 6.4719
0.0000 0.0000 13.6896
0.0000 0.0000 20.7016
```



Record 5
Below is a relaxed CaFe2W crystal, with properties calculated at the GGA-PBE level.

Results
- Theoretical density: 8.6 g cm⁻³
- SG: P4/mmm (123)
- Calculated formation energy: 1.388 eV/f.u.
- Relative energy among the computed polymorphs: 0.00 eV/f.u.

```
CaFe2W
1.0
3.0384 0.0000 0.0000
0.0000 3.0384 0.0000
0.0000 0.0000 6.9981
Ca Fe W
1 2 1
Cartesian
0.0000 0.0000 0.0000
1.5192 1.5192 2.1697
1.5192 1.5192 4.8283
0.0000 0.0000 3.4990
```



Record 6
Below is a relaxed CaFeW crystal, with properties calculated at the GGA-PBE level.

Results
- Theoretical density: 8.8 g cm⁻³
- SG: P3m1 (156)
- Calculated formation energy: 2.767 eV/f.u.
- Relative energy among the computed polymorphs: 1.22 eV/f.u.

```
CaFeW
1.0
4.6589 0.0000 0.0000
-2.3294 4.0347 0.0000
0.0000 0.0000 2.7968
Ca Fe W
1 1 1
Cartesian
0.0000 0.0000 0.0000
2.3294 1.3449 1.1086
0.0000 2.6898 1.6363
```



Record 7
Below is a relaxed CaFeW2 crystal, with properties calculated at the GGA-PBE level.

Results
- Theoretical density: 11.3 g cm⁻³
- SG: P2/m (10)
- Calculated formation energy: 3.153 eV/f.u.
- Relative energy among the computed polymorphs: 0.86 eV/f.u.

```
CaFeW2
1.0
2.7023 0.0000 0.0000
0.0000 4.8509 0.0000
-0.9170 0.0000 5.1872
Ca Fe W
1 1 2
Cartesian
0.0000 0.0000 0.0000
0.8926 0.0000 2.5936
0.0706 2.4254 3.8380
1.7147 2.4254 1.3492
```



Record 8
Below is a relaxed CaFeW2 crystal, with properties calculated at the GGA-PBE level.

Results
- Theoretical density: 10.4 g cm⁻³
- SG: P4mm (99)
- Calculated formation energy: 2.297 eV/f.u.
- Relative energy among the computed polymorphs: 0.00 eV/f.u.

```
CaFeW2
1.0
3.1936 0.0000 0.0000
0.0000 3.1936 0.0000
0.0000 0.0000 7.2427
Ca Fe W
1 1 2
Cartesian
0.0000 0.0000 0.0000
1.5968 1.5968 2.1699
0.0000 0.0000 3.4725
1.5968 1.5968 4.9032
```



Record 9
Below is a relaxed CaFe2W crystal, with properties calculated at the GGA-PBE level.

Results
- Theoretical density: 7.4 g cm⁻³
- SG: C2/m (12)
- Calculated formation energy: 2.260 eV/f.u.
- Relative energy among the computed polymorphs: 0.87 eV/f.u.

```
CaFe2W
1.0
4.2231 -1.5754 0.0000
4.2231 1.5754 0.0000
-1.3385 0.0000 5.6715
Ca Fe W
1 2 1
Cartesian
0.0000 0.0000 0.0000
1.0424 0.0000 3.6063
6.0654 0.0000 2.0652
3.5539 0.0000 2.8358
```



Record 10
Below is a relaxed CaFeW2 crystal, with properties calculated at the GGA-PBE level.

Results
- Theoretical density: 10.4 g cm⁻³
- SG: Pm (6)
- Calculated formation energy: 2.543 eV/f.u.
- Relative energy among the computed polymorphs: 0.25 eV/f.u.

```
CaFeW2
1.0
2.7640 0.0000 0.0000
0.0000 4.2892 0.0000
-1.0939 0.0000 6.2599
Ca Fe W
1 1 2
Cartesian
0.0000 0.0000 0.0000
1.8004 2.1446 1.9236
-0.0650 2.1446 4.2573
0.8044 0.0000 3.0597
```



Record 11
Below is a relaxed CaFeW2 crystal, with properties calculated at the GGA-PBE level.

Results
- Theoretical density: 11.1 g cm⁻³
- SG: Cmmm (65)
- Calculated formation energy: 3.592 eV/f.u.
- Relative energy among the computed polymorphs: 1.30 eV/f.u.

```
CaFeW2
1.0
2.6910 -4.8329 0.0000
2.6910 4.8329 0.0000
0.0000 0.0000 2.6633
Ca Fe W
1 1 2
Cartesian
0.0000 0.0000 0.0000
2.6910 0.0000 0.0000
1.3455 2.4164 1.3317
1.3455 -2.4164 1.3317
```



Record 12
Below is a relaxed CaFeW crystal, with properties calculated at the GGA-PBE level.

Results
- Theoretical density: 8.2 g cm⁻³
- SG: F-43m (216)
- Calculated formation energy: 3.325 eV/f.u.
- Relative energy among the computed polymorphs: 1.78 eV/f.u.

```
CaFeW
1.0
0.0000 3.0544 3.0544
3.0544 0.0000 3.0544
3.0544 3.0544 0.0000
Ca Fe W
1 1 1
Cartesian
0.0000 0.0000 0.0000
4.5816 4.5816 4.5816
3.0544 3.0544 3.0544
```



> The highest calculated formation energy belongs to which entry?

Ca3FeW